RhW2Se | PBE-GGA | relaxed

## Properties
- ΔE_f (raw): 0.269 eV per atom

Structure (extended XYZ):
```
4
Lattice="8.7252 0.0083 0.0049 8.2381 2.8746 0.0049 8.2381 1.4000 2.5106" Properties=species:S:1:pos:R:3 pbc="T T T"
Rh 6.3004 1.0707 0.6301
W 12.5488 2.1326 1.2550
W 0.0519 0.0088 0.0052
Se 18.9011 3.2122 1.8903
```

=====

RbLaF4 | PBE-GGA | relaxed

## Properties
- ΔE_f (raw): -3.725 eV per atom

Structure (extended XYZ):
```
24
Lattice="-2.8191 1.1428 -2.4214 -2.0631 -6.1629 -0.5067 -10.0159 2.3048 12.7486" Properties=species:S:1:pos:R:3 pbc="T T T"
F -12.6588 -2.6224 8.8181
F -10.0746 -1.5222 9.4501
F -7.5155 -0.3436 3.9056
F -2.2392 -0.0929 1.0024
F -7.7914 1.2712 8.1102
F -2.2947 -2.6705 -0.1495
F -10.6265 1.6936 11.6103
F -9.7416 -4.0221 4.7612
F -4.8234 -1.1931 0.3704
F -5.1564 1.3068 5.0593
F -9.2334 -0.0919 6.0244
F -7.1066 -3.9864 1.7103
F -4.2715 -4.4089 -1.7898
F -7.3825 -2.3717 5.9149
F -12.6033 -0.0448 9.9700
F -5.6646 -2.6234 3.7961
La -6.8187 0.0228 6.3886
La -8.0793 -2.7381 3.4319
La -11.6842 -2.1764 11.0153
La -3.2139 -0.5389 -1.1947
Rb -10.6948 0.9948 8.2386
Rb -4.1670 -0.3996 3.1021
Rb -10.7310 -2.3157 6.7184
Rb -4.2032 -3.7101 1.5819
```

=====

Ac4InTe2P | PBE-GGA | relaxed

## Properties
- ΔE_f (raw): -1.199 eV per atom

Structure (extended XYZ):
```
8
Lattice="4.5899 0.0000 0.0000 0.0000 8.1749 0.1962 0.0000 -2.8046 7.7598" Properties=species:S:1:pos:R:3 pbc="T T T"
Ac 2.2949 4.1134 6.1805
Ac 0.0000 -0.1407 5.9695
Ac 0.0000 5.5110 1.9866
Ac 2.2949 1.2569 1.7755
In 2.2949 4.0874 0.0981
Te 0.0000 2.6851 3.9780
Te 2.2949 -1.4023 3.8799
P 0.0000 0.0000 0.0000
```

=====

SmHo2Tm6 | PBE-GGA | relaxed

## Properties
- ΔH_f (0 K): 101 meV per atom
- Offset from the most stable computed form: 0.070 eV per atom

Structure (extended XYZ):
```
18
Lattice="-0.7703 -4.2976 -4.7810 4.4943 -7.3145 3.8928 -8.6729 -3.0074 2.1426" Properties=species:S:1:pos:R:3 pbc="T T T"
Tm 1.3801 -4.5523 0.8239
Tm -6.3291 -10.0672 0.4306
Tm -5.0618 -6.8744 0.5216
Tm 0.1129 -7.7451 0.7329
Tm -0.5676 -10.6192 -1.2203
Tm -0.6468 -9.6512 3.5252
Tm 0.0473 -4.6919 -2.2923
Tm -4.3021 -4.9683 -2.2707
Tm -3.1098 -12.8194 1.4582
Tm -1.8391 -1.8001 -0.2037
Tm -4.9962 -9.9276 3.5467
Tm -4.3813 -4.0003 2.4747
Ho -2.1105 -5.1905 0.3603
Ho -2.8384 -9.4290 0.8941
Ho -3.1020 -7.0681 3.1984
Ho -1.8470 -7.5514 -1.9439
Sm 2.3171 -10.0145 0.0945
Sm -7.2661 -4.6050 1.1599
```

=====

FeAg2Mo | PBE-GGA | relaxed

## Properties
- ΔH_f (0 K): 364 meV per atom
- Offset from the most stable computed form: 0.061 eV per atom

Structure (extended XYZ):
```
4
Lattice="9.2188 -0.0600 -0.0352 8.7931 2.7696 -0.0352 8.7931 1.3228 2.4335" Properties=species:S:1:pos:R:3 pbc="T T T"
Ag 6.5489 0.9852 0.5774
Ag 0.0413 0.0062 0.0036
Mo 20.3657 3.0636 1.7955
Fe 13.2516 1.9935 1.1683
```

=====

CsLiPaO3 | PBE-GGA | relaxed

## Properties
- ΔE_f (raw): -2.546 eV per atom

Structure (extended XYZ):
```
12
Lattice="3.6338 0.0000 0.0000 -1.8169 6.7116 0.0000 0.0000 0.0000 9.1067" Properties=species:S:1:pos:R:3 pbc="T T T"
Li 0.0000 6.0909 6.8300
Li 1.8169 0.6207 2.2767
O 0.0000 0.3806 6.8300
O 1.8169 6.3310 2.2767
O 1.8169 1.3120 4.0945
O 0.0000 5.3995 5.0122
O 1.8169 1.3120 0.4589
O 0.0000 5.3995 8.6478
Cs 0.0000 3.6304 2.2767
Cs 1.8169 3.0812 6.8300
Pa 0.0000 0.0000 4.5534
Pa 0.0000 0.0000 0.0000
```

=====

Dy6AlPt2 | PBE-GGA | relaxed

## Properties
- ΔH_f (0 K): -710 meV per atom

Structure (extended XYZ):
```
18
Lattice="7.9712 -0.1352 -2.9584 -4.2715 6.9932 -2.2714 -0.1356 0.1352 8.5014" Properties=species:S:1:pos:R:3 pbc="T T T"
Dy -0.4905 2.1020 5.9999
Dy -1.8345 6.8371 2.5933
Dy 3.0807 5.3003 0.7098
Dy 1.0871 5.0264 3.7698
Dy -1.8306 5.4355 5.8327
Dy 0.4833 1.6929 2.5618
Dy 5.3947 1.5577 -2.5612
Dy 3.9070 2.5687 2.7868
Dy -0.3430 4.4245 0.4848
Dy 4.0545 4.8912 -2.7283
Dy 2.4769 1.9668 -0.4983
Dy 5.3985 0.1562 0.6783
Pt 1.2552 4.3908 -1.7743
Pt 2.6205 0.0000 1.8538
Pt 2.3088 2.6024 5.0459
Pt 5.2151 0.0000 3.6892
Al -2.2036 3.5642 3.1150
Al 0.0000 0.0000 0.0000
```

=====

Ba2TlRe | PBE-GGA | relaxed

## Properties
- ΔH_f (0 K): 875 meV per atom
- Offset from the most stable computed form: 0.252 eV per atom

Structure (extended XYZ):
```
4
Lattice="6.0380 -0.0258 0.0000 1.8866 5.7358 0.0000 -3.9623 -2.8550 3.5507" Properties=species:S:1:pos:R:3 pbc="T T T"
Re 3.9623 2.8550 0.0000
Ba 0.0000 0.0000 0.0000
Ba 0.9433 2.8679 1.7754
Tl 3.0190 -0.0129 1.7754
```

=====

Cr4Sb | PBE-GGA | relaxed

## Properties
- ΔE_f (raw): 1.608 eV per atom
- Offset from the most stable computed form: 1.104 eV per atom

Structure (extended XYZ):
```
5
Lattice="5.1907 0.0000 0.0000 0.0000 5.1907 0.0000 0.0000 0.0000 5.1907" Properties=species:S:1:pos:R:3 pbc="T T T"
Cr 2.5953 2.5953 0.0000
Cr 0.0000 0.0000 0.0000
Cr 2.5953 0.0000 2.5953
Cr 0.0000 2.5953 2.5953
Sb 2.5953 2.5953 2.5953
```

=====

NiSbPt3 | PBE-GGA | relaxed

## Properties
- ΔE_f (raw): 0.690 eV per atom
- Offset from the most stable computed form: 0.000 eV per atom

Structure (extended XYZ):
```
5
Lattice="-3.1497 -2.7305 1.9633 1.4407 -3.5260 -2.5928 3.0389 -1.1585 3.2640" Properties=species:S:1:pos:R:3 pbc="T T T"
Sb 0.6649 -3.7075 1.3173
Pt 1.5194 -0.5792 1.6320
Pt 0.7203 -1.7630 -1.2964
Pt -1.5749 -1.3653 0.9816
Ni 0.0000 0.0000 0.0000
```

=====

- Number 1 is which compound?
  RhW2Se

=====

Please write out number 1 again, unchanged.
RhW2Se | PBE-GGA | relaxed

## Properties
- ΔE_f (raw): 0.269 eV per atom

Structure (extended XYZ):
```
4
Lattice="8.7252 0.0083 0.0049 8.2381 2.8746 0.0049 8.2381 1.4000 2.5106" Properties=species:S:1:pos:R:3 pbc="T T T"
Rh 6.3004 1.0707 0.6301
W 12.5488 2.1326 1.2550
W 0.0519 0.0088 0.0052
Se 18.9011 3.2122 1.8903
```

=====

- What is the formula in the first record?
  RhW2Se